Density functional theory data (PBE) for an optimized crystal structure of Ac2Ga2Ni3.

Output
space-group type: I2_13
density of states at the Fermi level: 11.6 states/eV per cell
magnetic moment: 0.00 μB per formula unit
raw total energy: -4.83 eV/atom

a = 7.374 Å, b = 7.374 Å, c = 7.374 Å
α = 109.47°, β = 109.47°, γ = 109.47°
Fractional positions:
1 Ac 0.481 0.981 0.981
2 Ac 0.019 0.500 0.000
3 Ac 0.500 0.519 0.500
4 Ac 0.000 0.000 0.519
5 Ga 0.452 0.500 0.000
6 Ga 0.000 0.000 0.952
7 Ga 0.048 0.548 0.548
8 Ga 0.500 0.952 0.500
9 Ni 0.750 0.458 0.208
10 Ni 0.792 0.750 0.042
11 Ni 0.542 0.292 0.750
12 Ni 0.250 0.042 0.292
13 Ni 0.708 0.250 0.458
14 Ni 0.958 0.208 0.250